Compound: Nd5Tl4Ag
Source: Alexandria via LeMat-Bulk
Functional: PBE
Structure: optimized geometry

Cell lengths 3.724, 3.724, 20.963 Å; angles 90.00, 90.00, 90.00 degrees
Site moments in Bohr magnetons follow the coordinates.
Positions (direct):
Tl1 0.000 0.000 0.809  0.00
Ag1 0.000 0.000 0.000  0.01
Tl2 0.000 0.000 0.191  0.00
Nd1 0.500 0.500 0.500  0.01
Nd2 0.500 0.500 0.091  0.06
Nd3 0.500 0.500 0.705  -0.01
Tl3 0.000 0.000 0.603  0.00
Nd4 0.500 0.500 0.909  0.06
Tl4 0.000 0.000 0.397  0.00
Nd5 0.500 0.500 0.295  -0.01

The calculation puts the formation energy at -0.3704 eV/atom. The value obtained for the raw total energy is -3.986 eV per atom. The symmetry is P4/mmm, No. 123.